# RbBe2NiAu | the Alexandria database | meta-GGA SCAN | PBEsol geometry
data_RbBe2NiAu
_cell_length_a 4.273
_cell_length_b 4.273
_cell_length_c 5.537
_cell_angle_alpha 90.00
_cell_angle_beta 90.00
_cell_angle_gamma 90.00
_symmetry_space_group_name_H-M 'P 1'
_symmetry_Int_Tables_number 1
loop_
_symmetry_equiv_pos_as_xyz
'x,y,z'
loop_
_atom_site_label
_atom_site_type_symbol
_atom_site_fract_x
_atom_site_fract_y
_atom_site_fract_z
Rb1 Rb 0.000 0.000 0.000
Be1 Be 0.000 0.500 0.500
Be2 Be 0.500 0.000 0.500
Ni1 Ni 0.000 0.000 0.500
Au1 Au 0.500 0.500 0.000
# Calculated formation energy ... 862 meV/atom
# Space group ... P4/mmm, No. 123
# Density of states at the Fermi level ... 0.456 states/eV per atom
# Total magnetic moment ... 0.00 Bohr magnetons per cell
# Volume ... 20.22 A^3/atom